(1)
A relaxed GdSc2Mo crystal. Source: Alexandria, functional GGA-PBE.

Output
magnetic moment: 7.85 μB per cell
SG: P4/mmm
formation energy: 0.56 eV/f.u.
relative energy among the computed polymorphs: 0.000 eV per atom
DOS(E_F): 5.2 states/eV per cell
final energy: -37.01 eV/f.u.

a b c (Å): 3.421 3.421 7.977
angles (deg): 90.00 90.00 90.00
Positions (direct):
Gd (0.000, 0.000, 0.000)
Sc (0.500, 0.500, 0.309)
Sc (0.500, 0.500, 0.691)
Mo (0.000, 0.000, 0.500)

(2)
A relaxed GdSi2Mo crystal. Source: Alexandria, functional GGA-PBE.

Output
magnetic moment: 6.76 μB per cell
SG: R-3m
formation energy from raw total energies: -0.28 eV/atom
DOS(E_F): 2.5 states/eV per cell
final energy: -36.86 eV/f.u.

a b c (Å): 6.972 6.972 6.972
angles (deg): 30.44 30.44 30.44
Positions (direct):
Gd (0.000, 0.000, 0.000)
Si (0.237, 0.237, 0.237)
Si (0.763, 0.763, 0.763)
Mo (0.500, 0.500, 0.500)

(3)
A relaxed SmGdMo4 crystal. Source: Alexandria, functional GGA-PBE.

Output
magnetic moment: 7.33 μB per cell
SG: F-43m
formation energy: 1.08 eV/f.u.
DOS(E_F): 8.4 states/eV per cell
final energy: -61.05 eV/f.u.

a b c (Å): 5.551 5.551 5.551
angles (deg): 60.00 60.00 60.00
Positions (direct):
Sm (0.000, 0.000, 0.000)
Gd (0.750, 0.750, 0.750)
Mo (0.375, 0.375, 0.375)
Mo (0.375, 0.375, 0.875)
Mo (0.375, 0.875, 0.375)
Mo (0.875, 0.375, 0.375)

(4)
A relaxed GdTaMo4 crystal. Source: Alexandria, functional GGA-PBE.

Output
magnetic moment: 7.00 μB per cell
SG: F-43m
formation energy: 0.77 eV/f.u.
DOS(E_F): 4.4 states/eV per cell
final energy: -68.48 eV/f.u.

a b c (Å): 5.400 5.400 5.400
angles (deg): 60.00 60.00 60.00
Positions (direct):
Gd (0.000, 0.000, 0.000)
Ta (0.250, 0.250, 0.250)
Mo (0.126, 0.625, 0.625)
Mo (0.625, 0.126, 0.625)
Mo (0.625, 0.625, 0.126)
Mo (0.625, 0.625, 0.625)

(5)
A relaxed GdTc4Mo crystal. Source: Alexandria, functional GGA-PBE.

Output
magnetic moment: 7.11 μB per cell
SG: F-43m
formation energy: 0.95 eV/f.u.
DOS(E_F): 9.0 states/eV per cell
final energy: -65.43 eV/f.u.

a b c (Å): 5.255 5.255 5.255
angles (deg): 60.00 60.00 60.00
Positions (direct):
Gd (0.000, 0.000, 0.000)
Tc (0.126, 0.625, 0.625)
Tc (0.625, 0.126, 0.625)
Tc (0.625, 0.625, 0.126)
Tc (0.625, 0.625, 0.625)
Mo (0.250, 0.250, 0.250)

(6)
A relaxed GdTcMoW crystal. Source: Alexandria, functional GGA-PBE.

Output
magnetic moment: 6.81 μB per cell
SG: F-43m
formation energy: 1.01 eV/f.u.
DOS(E_F): 4.1 states/eV per cell
final energy: -47.22 eV/f.u.

a b c (Å): 4.630 4.630 4.630
angles (deg): 60.00 60.00 60.00
Positions (direct):
Gd (0.000, 0.000, 0.000)
Tc (0.750, 0.750, 0.750)
Mo (0.250, 0.250, 0.250)
W (0.500, 0.500, 0.500)

(7)
A relaxed GdTi2Mo crystal. Source: Alexandria, functional GGA-PBE.

Output
magnetic moment: 7.48 μB per cell
SG: P4/mmm
formation energy: 0.21 eV/f.u.
relative energy among the computed polymorphs: 0.000 eV per atom
DOS(E_F): 6.3 states/eV per cell
final energy: -40.49 eV/f.u.

a b c (Å): 3.276 3.276 7.438
angles (deg): 90.00 90.00 90.00
Positions (direct):
Gd (0.000, 0.000, 0.000)
Ti (0.500, 0.500, 0.310)
Ti (0.500, 0.500, 0.690)
Mo (0.000, 0.000, 0.500)

(8)
A relaxed GdTi2Mo crystal. Source: Alexandria, functional GGA-PBE.

Output
magnetic moment: 7.44 μB per cell
SG: R-3m
formation energy: 1.35 eV/f.u.
relative energy among the computed polymorphs: 0.284 eV per atom
DOS(E_F): 6.8 states/eV per cell
final energy: -39.35 eV/f.u.

a b c (Å): 10.066 10.066 10.066
angles (deg): 17.68 17.68 17.68
Positions (direct):
Gd (0.000, 0.000, 0.000)
Ti (0.102, 0.102, 0.102)
Ti (0.898, 0.898, 0.898)
Mo (0.500, 0.500, 0.500)

(9)
A relaxed GdYMo4 crystal. Source: Alexandria, functional GGA-PBE.

Output
magnetic moment: 7.40 μB per cell
SG: F-43m
formation energy: 0.78 eV/f.u.
DOS(E_F): 8.3 states/eV per cell
final energy: -63.09 eV/f.u.

a b c (Å): 5.534 5.534 5.534
angles (deg): 60.00 60.00 60.00
Positions (direct):
Gd (0.000, 0.000, 0.000)
Y (0.750, 0.750, 0.750)
Mo (0.375, 0.375, 0.375)
Mo (0.375, 0.375, 0.875)
Mo (0.375, 0.875, 0.375)
Mo (0.875, 0.375, 0.375)

(10)
A relaxed GdZrMo4 crystal. Source: Alexandria, functional GGA-PBE.

Output
magnetic moment: 7.16 μB per cell
SG: F-43m
formation energy: 0.21 eV/f.u.
DOS(E_F): 6.3 states/eV per cell
final energy: -65.74 eV/f.u.

a b c (Å): 5.461 5.461 5.461
angles (deg): 60.00 60.00 60.00
Positions (direct):
Gd (0.000, 0.000, 0.000)
Zr (0.750, 0.750, 0.750)
Mo (0.375, 0.375, 0.375)
Mo (0.375, 0.375, 0.875)
Mo (0.375, 0.875, 0.375)
Mo (0.875, 0.375, 0.375)

(11)
A relaxed GdN crystal. Source: Alexandria, functional GGA-PBE.

Output
magnetic moment: 7.00 μB per cell
SG: Fm-3m
formation energy from raw total energies: -1.58 eV/atom
DOS(E_F): 0.2 states/eV per cell
final energy: -25.57 eV/f.u.

a b c (Å): 3.526 3.526 3.526
angles (deg): 60.00 60.00 60.00
Positions (direct):
Gd (0.000, 0.000, 0.000)
N (0.500, 0.500, 0.500)

Repeat the fifth record exactly.
A relaxed GdTc4Mo crystal. Source: Alexandria, functional GGA-PBE.

Output
magnetic moment: 7.11 μB per cell
SG: F-43m
formation energy: 0.95 eV/f.u.
DOS(E_F): 9.0 states/eV per cell
final energy: -65.43 eV/f.u.

a b c (Å): 5.255 5.255 5.255
angles (deg): 60.00 60.00 60.00
Positions (direct):
Gd (0.000, 0.000, 0.000)
Tc (0.126, 0.625, 0.625)
Tc (0.625, 0.126, 0.625)
Tc (0.625, 0.625, 0.126)
Tc (0.625, 0.625, 0.625)
Mo (0.250, 0.250, 0.250)

- Among the records above, which one has the lowest final energy?
  GdTaMo4